No. 1
## KCaCl3 (SCAN)

Data for KCaCl3 at its PBEsol-relaxed geometry.

Values from the calculation:
Energy relative to the elements, uncorrected ... -2.44 eV/atom
Spin magnetization ... 0.0 μB/cell
Uncorrected energy ... -10.828 eV per atom

Unit cell a=5.3070 b=5.3070 c=5.3070 alpha=90.00 beta=90.00 gamma=90.00
Fractional coordinates of all 5 atoms:
1 K 0.0000 0.0000 0.0000
2 Ca 0.5000 0.5000 0.5000
3 Cl 0.0000 0.5000 0.5000
4 Cl 0.5000 0.0000 0.5000
5 Cl 0.5000 0.5000 0.0000

***

No. 2
## GaNiIrBr2 (SCAN)

Data for GaNiIrBr2 at its PBEsol-relaxed geometry.

Values from the calculation:
Energy relative to the elements, uncorrected ... 0.78 eV/atom
Spin magnetization ... 1.8 μB/cell
Uncorrected energy ... -27.726 eV per atom

Unit cell a=4.7201 b=4.7201 c=4.7152 alpha=90.00 beta=90.00 gamma=90.00
Fractional coordinates of all 5 atoms:
1 Ga 0.0000 0.0000 0.0000
2 Ni 0.5000 0.5000 0.5000
3 Ir 0.5000 0.5000 0.0000
4 Br 0.0000 0.5000 0.5000
5 Br 0.5000 0.0000 0.5000

***

No. 3
## Fe2Hg2Pb (SCAN)

Data for Fe2Hg2Pb at its PBEsol-relaxed geometry.

Values from the calculation:
Spin magnetization ... 5.7 μB/cell
Formation enthalpy at 0 K ... 0.353 eV/atom
Uncorrected energy ... -49.322 eV per atom

Unit cell a=9.2754 b=9.2754 c=9.2754 alpha=159.35 beta=159.35 gamma=29.36
Fractional coordinates of all 5 atoms:
1 Fe 0.2500 0.7500 0.5000
2 Fe 0.7500 0.2500 0.5000
3 Hg 0.1280 0.1280 0.0000
4 Hg 0.8720 0.8720 0.0000
5 Pb 0.5000 0.5000 0.0000

***

No. 4
## Eu2N (SCAN)

Data for Eu2N at its PBEsol-relaxed geometry.

Values from the calculation:
Energy relative to the elements, uncorrected ... -0.91 eV/atom
Spin magnetization ... 59.8 μB/cell
Uncorrected energy ... -39.812 eV per atom

Unit cell a=7.2826 b=7.2826 c=7.2826 alpha=60.00 beta=60.00 gamma=60.00
Fractional coordinates of all 12 atoms:
1 Eu 0.2239 0.7587 0.7587
2 Eu 0.2413 0.2413 0.2413
3 Eu 0.2413 0.2413 0.7761
4 Eu 0.2413 0.7761 0.2413
5 Eu 0.7587 0.2239 0.7587
6 Eu 0.7587 0.7587 0.2239
7 Eu 0.7587 0.7587 0.7587
8 Eu 0.7761 0.2413 0.2413
9 N 0.0000 0.0000 0.0000
10 N 0.0000 0.0000 0.5000
11 N 0.0000 0.5000 0.0000
12 N 0.5000 0.0000 0.0000

***

No. 5
## K2MnBPt (SCAN)

Data for K2MnBPt at its PBEsol-relaxed geometry.

Values from the calculation:
Spin magnetization ... 5.0 μB/cell
Formation enthalpy at 0 K ... 0.469 eV/atom
Uncorrected energy ... -22.038 eV per atom

Unit cell a=6.2330 b=6.2330 c=3.9369 alpha=90.00 beta=90.00 gamma=90.00
Fractional coordinates of all 5 atoms:
1 K 0.0000 0.5000 0.0000
2 K 0.5000 0.0000 0.0000
3 Mn 0.0000 0.0000 0.5000
4 B 0.5000 0.5000 0.5000
5 Pt 0.5000 0.5000 0.0000

***

No. 6
## NiSnH12O6F6 (SCAN)

Data for NiSnH12O6F6 at its PBEsol-relaxed geometry.

Values from the calculation:
Spin magnetization ... 2.1 μB/cell
Uncorrected energy ... -7.379 eV per atom

Unit cell a=6.4415 b=6.4415 c=6.4415 alpha=96.31 beta=96.31 gamma=96.31
Fractional coordinates of all 26 atoms:
1 Ni 0.0000 0.0000 0.0000
2 Sn 0.5000 0.5000 0.5000
3 H 0.0531 0.4007 0.1781
4 H 0.1634 0.8112 0.3018
5 H 0.1781 0.0531 0.4007
6 H 0.1888 0.6982 0.8366
7 H 0.3018 0.1634 0.8112
8 H 0.4007 0.1781 0.0531
9 H 0.5993 0.8218 0.9469
10 H 0.6982 0.8366 0.1888
11 H 0.8112 0.3018 0.1634
12 H 0.8219 0.9469 0.5993
13 H 0.8366 0.1888 0.6982
14 H 0.9469 0.5993 0.8219
15 O 0.0583 0.7039 0.9038
16 O 0.0962 0.9417 0.2961
17 O 0.2961 0.0962 0.9417
18 O 0.7039 0.9038 0.0583
19 O 0.9038 0.0583 0.7039
20 O 0.9417 0.2961 0.0962
21 F 0.2463 0.5716 0.3309
22 F 0.3309 0.2463 0.5716
23 F 0.4284 0.6691 0.7537
24 F 0.5716 0.3309 0.2463
25 F 0.6691 0.7537 0.4284
26 F 0.7537 0.4284 0.6691

***

No. 7
## Ge2Bi2Te5 (SCAN)

Data for Ge2Bi2Te5 at its PBEsol-relaxed geometry.

Values from the calculation:
Energy relative to the elements, uncorrected ... -0.09 eV/atom
Spin magnetization ... 0.0 μB/cell
Uncorrected energy ... -42.486 eV per atom

Unit cell a=17.8335 b=17.8335 c=17.8335 alpha=13.65 beta=13.65 gamma=13.65
Fractional coordinates of all 9 atoms:
1 Ge 0.0000 0.0000 0.0000
2 Ge 0.3985 0.3985 0.3985
3 Bi 0.2167 0.2167 0.2167
4 Bi 0.8046 0.8046 0.8046
5 Te 0.1030 0.1030 0.1030
6 Te 0.3069 0.3069 0.3069
7 Te 0.5097 0.5097 0.5097
8 Te 0.7050 0.7050 0.7050
9 Te 0.9171 0.9171 0.9171

***

No. 8
## ZrTi2 (SCAN)

Data for ZrTi2 at its PBEsol-relaxed geometry.

Values from the calculation:
Spin magnetization ... 0.0 μB/cell
Formation enthalpy at 0 K ... 0.040 eV/atom
Uncorrected energy ... -20.880 eV per atom

Unit cell a=4.6482 b=4.6482 c=2.9761 alpha=90.00 beta=90.00 gamma=120.00
Fractional coordinates of all 3 atoms:
1 Zr 0.0000 0.0000 0.0000
2 Ti 0.3333 0.6667 0.5000
3 Ti 0.6667 0.3333 0.5000